Crystalline K7Rb3Hg4 at its relaxed geometry, computed with GGA-PBE.

symmetry = C2/m (12)
DOS(E_F) = 0.445 states/eV/atom
calculated formation energy = -0.133 eV/atom
crystal system = monoclinic
VASP energy = -13.656 eV per cell

The structure in POSCAR format:
```
K7Rb3Hg4
1.0
11.3537 -2.7115 0.0000
11.3537 2.7115 0.0000
-7.9672 0.0000 12.1124
K Rb Hg
7 3 4
Cartesian
0.0000 0.0000 0.0000
-3.5414 0.0000 11.2595
3.3740 0.0000 5.8004
9.3442 0.0000 2.8105
5.3959 0.0000 9.3019
11.3661 0.0000 6.3120
18.2815 0.0000 0.8529
-3.9836 0.0000 6.0562
0.6213 0.0000 9.5921
14.1188 0.0000 2.5203
0.1879 0.0000 3.7261
5.6558 0.0000 2.9505
9.0843 0.0000 9.1618
14.5522 0.0000 8.3862
```